No. 1
## Pr4DyBi2 (PBE-GGA)

Data for crystalline Pr4DyBi2 at its relaxed geometry.

Lattice parameters (Å, degrees): 9.541 9.541 9.541 146.36 146.36 48.31
Atoms (fractional coordinates):
Pr: 0.000 0.500 0.500
Pr: 0.182 0.182 0.000
Pr: 0.500 0.000 0.500
Pr: 0.818 0.818 0.000
Dy: 0.000 0.000 0.000
Bi: 0.366 0.366 0.000
Bi: 0.634 0.634 0.000

Energy relative to the elements ... 1.0 eV per formula unit
Symmetry ... No. 139


No. 2
## Rb4TbPr3Te8 (PBE-GGA)

Data for crystalline Rb4TbPr3Te8 at its relaxed geometry.

Lattice parameters (Å, degrees): 10.115 10.115 10.115 54.69 54.69 54.69
Atoms (fractional coordinates):
Rb: 0.000 0.000 0.000
Rb: 0.000 0.500 0.500
Rb: 0.500 0.000 0.500
Rb: 0.500 0.500 0.000
Tb: 0.500 0.500 0.500
Pr: 0.000 0.000 0.500
Pr: 0.000 0.500 0.000
Pr: 0.500 0.000 0.000
Te: 0.236 0.236 0.236
Te: 0.242 0.731 0.731
Te: 0.269 0.269 0.758
Te: 0.269 0.758 0.269
Te: 0.731 0.242 0.731
Te: 0.731 0.731 0.242
Te: 0.758 0.269 0.269
Te: 0.764 0.764 0.764

Uncorrected formation energy ... -1.405 eV/atom
Symmetry ... No. 166


No. 3
## Rb3ZnF (PBE-GGA)

Data for crystalline Rb3ZnF at its relaxed geometry.

Lattice parameters (Å, degrees): 5.786 5.786 5.786 90.00 90.00 90.00
Atoms (fractional coordinates):
Rb: 0.000 0.000 0.500
Rb: 0.000 0.500 0.000
Rb: 0.500 0.000 0.000
Zn: 0.500 0.500 0.500
F: 0.000 0.000 0.000

Uncorrected formation energy ... -0.920 eV/atom
Symmetry ... No. 221


No. 4
## Be3Cu2 (PBE-GGA)

Data for crystalline Be3Cu2 at its relaxed geometry.

Lattice parameters (Å, degrees): 9.548 9.548 9.548 14.74 14.74 14.74
Atoms (fractional coordinates):
Be: 0.000 0.000 0.000
Be: 0.198 0.198 0.198
Be: 0.802 0.802 0.802
Cu: 0.401 0.401 0.401
Cu: 0.599 0.599 0.599

Energy relative to the elements ... 0.3 eV per formula unit
Symmetry ... No. 166


No. 5
## MnGa2I6 (PBE-GGA)

Data for crystalline MnGa2I6 at its relaxed geometry.

Lattice parameters (Å, degrees): 11.337 11.337 7.165 95.43 95.43 89.15
Atoms (fractional coordinates):
Mn: 0.001 0.999 0.750
Mn: 0.999 0.001 0.250
Ga: 0.344 0.502 0.732
Ga: 0.498 0.656 0.768
Ga: 0.502 0.344 0.232
Ga: 0.656 0.498 0.268
I: 0.001 0.182 0.530
I: 0.140 0.542 0.843
I: 0.182 0.001 0.030
I: 0.295 0.429 0.359
I: 0.429 0.295 0.859
I: 0.458 0.860 0.657
I: 0.542 0.140 0.343
I: 0.571 0.705 0.141
I: 0.705 0.571 0.641
I: 0.818 0.999 0.970
I: 0.860 0.458 0.157
I: 0.999 0.818 0.470

Uncorrected formation energy ... -0.446 eV/atom
Symmetry ... No. 15


No. 6
## BaPaGa2I8 (PBE-GGA)

Data for crystalline BaPaGa2I8 at its relaxed geometry.

Lattice parameters (Å, degrees): 7.525 9.806 7.959 90.00 91.20 90.00
Atoms (fractional coordinates):
Ba: 0.000 0.000 0.000
Pa: 0.000 0.500 0.000
Ga: 0.500 0.237 0.500
Ga: 0.500 0.763 0.500
I: 0.230 0.500 0.312
I: 0.239 0.279 0.847
I: 0.239 0.721 0.847
I: 0.272 0.000 0.351
I: 0.728 0.000 0.649
I: 0.761 0.279 0.153
I: 0.761 0.721 0.153
I: 0.770 0.500 0.688

Uncorrected formation energy ... -0.931 eV/atom
Symmetry ... No. 10


No. 7
## KTe8 (PBE-GGA)

Data for crystalline KTe8 at its relaxed geometry.

Lattice parameters (Å, degrees): 7.727 7.727 7.727 105.39 105.39 117.99
Atoms (fractional coordinates):
K: 0.000 0.000 0.000
Te: 0.000 0.357 0.357
Te: 0.000 0.643 0.643
Te: 0.343 0.343 0.685
Te: 0.343 0.657 0.000
Te: 0.357 0.000 0.357
Te: 0.643 0.000 0.643
Te: 0.657 0.343 0.000
Te: 0.657 0.657 0.315

Uncorrected formation energy ... 0.016 eV/atom
Symmetry ... No. 139


No. 8
## BaNa2CdI6 (PBE-GGA)

Data for crystalline BaNa2CdI6 at its relaxed geometry.

Lattice parameters (Å, degrees): 8.747 8.747 8.747 55.47 55.47 55.47
Atoms (fractional coordinates):
Ba: 0.000 0.000 0.000
Na: 0.300 0.300 0.300
Na: 0.808 0.808 0.808
Cd: 0.493 0.493 0.493
I: 0.101 0.684 0.428
I: 0.235 0.577 0.876
I: 0.428 0.101 0.684
I: 0.577 0.876 0.235
I: 0.684 0.428 0.101
I: 0.876 0.235 0.577

Uncorrected formation energy ... -1.163 eV/atom
Symmetry ... No. 146


No. 9
## Mn2ReTc (PBE-GGA)

Data for crystalline Mn2ReTc at its relaxed geometry.

Lattice parameters (Å, degrees): 8.661 8.661 8.661 17.67 17.67 17.67
Atoms (fractional coordinates):
Mn: 0.000 0.000 0.000
Mn: 0.258 0.258 0.258
Re: 0.750 0.750 0.750
Tc: 0.510 0.510 0.510

Energy relative to the elements ... 0.7 eV per formula unit
Symmetry ... No. 160


No. 10
## GaBi2Se (PBE-GGA)

Data for crystalline GaBi2Se at its relaxed geometry.

Lattice parameters (Å, degrees): 8.676 8.676 8.676 137.80 137.80 61.21
Atoms (fractional coordinates):
Ga: 0.000 0.000 0.000
Ga: 0.750 0.250 0.500
Bi: 0.116 0.625 0.991
Bi: 0.375 0.366 0.491
Bi: 0.634 0.125 0.009
Bi: 0.875 0.884 0.509
Se: 0.250 0.750 0.500
Se: 0.500 0.500 0.000

Uncorrected formation energy ... 0.138 eV/atom
Symmetry ... No. 122


No. 11
## Tb3AlGe2Pt9 (PBE-GGA)

Data for crystalline Tb3AlGe2Pt9 at its relaxed geometry.

Lattice parameters (Å, degrees): 6.491 6.491 8.918 90.00 90.00 120.00
Atoms (fractional coordinates):
Tb: 0.000 0.000 0.000
Tb: 0.333 0.667 0.734
Tb: 0.667 0.333 0.266
Al: 0.000 0.000 0.500
Ge: 0.333 0.667 0.191
Ge: 0.667 0.333 0.809
Pt: 0.000 0.500 0.000
Pt: 0.138 0.275 0.279
Pt: 0.138 0.862 0.279
Pt: 0.275 0.138 0.721
Pt: 0.500 0.000 0.000
Pt: 0.500 0.500 0.000
Pt: 0.725 0.862 0.279
Pt: 0.862 0.138 0.721
Pt: 0.862 0.725 0.721

Energy relative to the elements ... -9.8 eV per formula unit
Symmetry ... No. 164


No. 12
## Y2GeS2 (PBE-GGA)

Data for crystalline Y2GeS2 at its relaxed geometry.

Lattice parameters (Å, degrees): 7.771 7.771 3.607 90.00 90.00 90.00
Atoms (fractional coordinates):
Y: 0.164 0.336 0.000
Y: 0.336 0.836 0.000
Y: 0.664 0.164 0.000
Y: 0.836 0.664 0.000
Ge: 0.000 0.000 0.000
Ge: 0.500 0.500 0.000
S: 0.138 0.638 0.500
S: 0.362 0.138 0.500
S: 0.638 0.862 0.500
S: 0.862 0.362 0.500

Uncorrected formation energy ... -1.250 eV/atom
Symmetry ... No. 127